Version A
A plane-wave DFT calculation with PBE was carried out for a relaxed structure of ScCu2HgH.

Symmetry = P4/mmm
Crystal system = tetragonal
Total magnetization = 0.19 μB per formula unit

POSCAR file:
```
ScCu2HgH
1.0
-0.7899 3.2419 3.7967
-4.6190 -3.0165 1.6147
2.9030 -2.8289 3.0196
Sc H Hg Cu
1 1 1 2
Cartesian
0.0000 0.0000 0.0000
-1.2529 -1.3018 4.2155
-2.3095 -1.5083 0.8074
1.4515 -1.4145 1.5098
-0.3950 1.6209 1.8983
```


Version B
A plane-wave DFT calculation with PBE was carried out for a relaxed structure of ScCu2HgH.

Symmetry = P4/mmm
Crystal system = tetragonal
Total magnetization = 0.00 μB per formula unit

POSCAR file:
```
ScCu2HgH
1.0
-1.0456 3.4355 -2.1260
-2.7939 -2.2012 -2.1829
-2.8158 0.8456 2.7513
Sc H Hg Cu
1 1 1 2
Cartesian
-1.4079 0.4228 1.3756
0.0000 0.0000 0.0000
-3.3276 1.0400 -0.7788
-1.3970 -1.1006 -1.0915
-0.5228 1.7178 -1.0630
```


Most stable structure, least stable structure: version B, version A.


Version A
A plane-wave DFT calculation with PBE was carried out for a relaxed structure of Ti2CuHgH.

Symmetry = P4/mmm
Crystal system = tetragonal
Total magnetization = 0.00 μB per formula unit

POSCAR file:
```
Ti2CuHgH
1.0
-1.1309 0.4938 -3.8684
0.7886 -3.9157 -0.7304
-3.8491 -0.9622 1.0025
H Hg Cu Ti
1 1 1 2
Cartesian
0.0000 0.0000 0.0000
-2.0957 -2.1920 -1.7982
-1.9246 -0.4811 0.5012
0.3943 -1.9578 -0.3652
-0.5655 0.2469 -1.9342
```


Version B
A plane-wave DFT calculation with PBE was carried out for a relaxed structure of Ti2CuHgH.

Symmetry = P4/mmm
Crystal system = tetragonal
Total magnetization = 2.04 μB per formula unit

POSCAR file:
```
Ti2CuHgH
1.0
5.0269 0.0000 0.0000
0.0000 5.0269 0.0000
0.0000 0.0000 3.1294
H Hg Cu Ti
1 1 1 2
Cartesian
0.0000 0.0000 1.5647
2.5134 2.5134 1.5647
0.0000 0.0000 0.0000
0.0000 2.5134 0.0000
2.5134 0.0000 0.0000
```


Most stable structure, least stable structure: version A, version B.


Version A
A plane-wave DFT calculation with PBE was carried out for a relaxed structure of Y2CuHgH.

Symmetry = P4/mmm
Crystal system = tetragonal
Total magnetization = 0.00 μB per formula unit

POSCAR file:
```
Y2CuHgH
1.0
5.6559 0.0000 0.0000
0.0000 4.7994 0.0000
0.0000 0.0000 5.6559
Y H Hg Cu
2 1 1 1
Cartesian
0.0000 0.0000 2.8280
2.8280 0.0000 0.0000
2.8280 2.3997 2.8280
0.0000 0.0000 0.0000
0.0000 2.3997 0.0000
```


Version B
A plane-wave DFT calculation with PBE was carried out for a relaxed structure of Y2CuHgH.

Symmetry = P4/mmm
Crystal system = tetragonal
Total magnetization = 0.00 μB per formula unit

POSCAR file:
```
Y2CuHgH
1.0
5.0101 0.0000 0.0000
0.0000 5.0101 0.0000
0.0000 0.0000 3.7987
Y H Hg Cu
2 1 1 1
Cartesian
0.0000 2.5050 0.0000
2.5050 0.0000 0.0000
0.0000 0.0000 0.0000
2.5050 2.5050 1.8994
0.0000 0.0000 1.8994
```


Most stable structure, least stable structure: version B, version A.


Version A
A plane-wave DFT calculation with PBE was carried out for a relaxed structure of CuHI2.

Symmetry = Pna2_1
Crystal system = orthorhombic
Total magnetization = 0.00 μB per formula unit

POSCAR file:
```
CuHI2
1.0
7.4627 0.0000 0.0000
0.0000 7.9352 0.0000
0.0000 0.0000 7.6769
Cu H I
4 4 8
Cartesian
7.1421 0.6627 6.7295
3.4108 7.2726 0.9474
3.4108 3.3050 2.8910
7.1421 4.6303 4.7859
0.6182 7.3208 2.9919
4.3495 0.6144 4.6850
4.3495 4.5821 6.8304
0.6182 3.3532 0.8465
0.7411 3.0749 6.6955
4.4724 4.8603 0.9814
4.4724 0.8927 2.8571
0.7411 7.0426 4.8198
4.5568 0.7314 6.6932
0.8254 7.2038 0.9837
0.8254 3.2362 2.8547
4.5568 4.6991 4.8222
```


Version B
A plane-wave DFT calculation with PBE was carried out for a relaxed structure of CuHI2.

Symmetry = Fm-3m
Crystal system = cubic
Total magnetization = 1.11 μB per formula unit

POSCAR file:
```
CuHI2
1.0
4.7927 -0.9308 1.2927
1.0184 -2.7165 4.1341
1.8742 -4.6688 -0.4445
I H Cu
2 1 1
Cartesian
1.9213 -2.0790 1.2456
5.7640 -6.2371 3.7368
0.0000 0.0000 0.0000
3.8427 -4.1581 2.4912
```


Most stable structure, least stable structure: version A, version B.


Version A
A plane-wave DFT calculation with PBE was carried out for a relaxed structure of CuHI2.

Symmetry = P-1
Crystal system = triclinic
Total magnetization = 0.00 μB per formula unit

POSCAR file:
```
CuHI2
1.0
-4.2377 -0.5651 -0.8546
-2.1455 -9.5525 13.0293
1.4562 3.5478 1.9438
Cu H I
2 2 4
Cartesian
-0.5747 0.5746 1.0582
-4.3523 -7.1444 13.0603
-1.2903 -0.4466 5.5848
-3.6367 -6.1232 8.5337
-1.9216 -7.4916 12.0281
-1.7984 -3.6258 9.2851
-3.1286 -2.9440 4.8334
-3.0054 0.9218 2.0904
```


Version B
A plane-wave DFT calculation with PBE was carried out for a relaxed structure of CuHI2.

Symmetry = R-3m
Crystal system = trigonal
Total magnetization = 0.00 μB per formula unit

POSCAR file:
```
CuHI2
1.0
-0.7330 -3.2703 -2.6468
3.1206 -2.7819 -0.8722
-1.1584 -5.8728 4.1319
I H Cu
2 1 1
Cartesian
-0.6053 -4.7816 2.6305
1.8345 -7.1434 -2.0175
0.0000 0.0000 0.0000
0.6146 -5.9625 0.3065
```


Most stable structure, least stable structure: version A, version B.


Version A
A plane-wave DFT calculation with PBE was carried out for a relaxed structure of CuHI2N.

Symmetry = P4/mmm
Crystal system = tetragonal
Total magnetization = 2.52 μB per formula unit

POSCAR file:
```
CuHI2N
1.0
5.7999 0.0000 0.0000
0.0000 5.7999 0.0000
0.0000 0.0000 3.5568
I H Cu N
2 1 1 1
Cartesian
0.0000 2.9000 0.0000
2.9000 0.0000 0.0000
2.9000 2.9000 1.7784
0.0000 0.0000 0.0000
0.0000 0.0000 1.7784
```


Version B
A plane-wave DFT calculation with PBE was carried out for a relaxed structure of CuHI2N.

Symmetry = P4/mmm
Crystal system = tetragonal
Total magnetization = 0.11 μB per formula unit

POSCAR file:
```
CuHI2N
1.0
-2.6967 -4.2437 -2.3504
-1.8168 -1.6100 4.9913
-2.3153 1.6443 -0.3124
I H Cu N
2 1 1 1
Cartesian
-0.9084 -0.8050 2.4957
-1.3484 -2.1219 -1.1752
0.0000 0.0000 0.0000
-3.4144 -2.1047 1.1643
-1.1577 0.8222 -0.1562
```


Most stable structure, least stable structure: version A, version B.


Version A
A plane-wave DFT calculation with PBE was carried out for a relaxed structure of CuHIN2.

Symmetry = P4/mmm
Crystal system = tetragonal
Total magnetization = 0.00 μB per formula unit

POSCAR file:
```
CuHIN2
1.0
-3.5567 0.7318 -0.2037
-0.5775 -1.9715 3.0012
0.6097 3.6658 2.5254
I H Cu N
1 1 1 2
Cartesian
0.3048 1.8329 1.2627
0.0000 0.0000 0.0000
-1.7623 1.2131 2.6614
-0.2888 -0.9857 1.5006
-1.7784 0.3659 -0.1018
```


Version B
A plane-wave DFT calculation with PBE was carried out for a relaxed structure of CuHIN2.

Symmetry = P4/mmm
Crystal system = tetragonal
Total magnetization = 1.57 μB per formula unit

POSCAR file:
```
CuHIN2
1.0
-1.8114 -2.8635 1.0759
2.8705 -2.0233 -0.5521
2.3658 1.3147 7.4819
I H Cu N
1 1 1 2
Cartesian
1.1829 0.6574 3.7410
1.7125 -1.7861 4.0029
0.0000 0.0000 0.0000
1.4353 -1.0116 -0.2761
-0.9057 -1.4318 0.5380
```


Most stable structure, least stable structure: version B, version A.


Version A
A plane-wave DFT calculation with PBE was carried out for a relaxed structure of CuHIO2.

Symmetry = P4/mmm
Crystal system = tetragonal
Total magnetization = 0.00 μB per formula unit

POSCAR file:
```
CuHIO2
1.0
4.1503 0.0000 0.0000
0.0000 4.1503 0.0000
0.0000 0.0000 3.4098
I H O Cu
1 1 2 1
Cartesian
0.0000 0.0000 1.7049
0.0000 0.0000 0.0000
0.0000 2.0752 0.0000
2.0752 0.0000 0.0000
2.0752 2.0752 1.7049
```


Version B
A plane-wave DFT calculation with PBE was carried out for a relaxed structure of CuHIO2.

Symmetry = P4/mmm
Crystal system = tetragonal
Total magnetization = 1.62 μB per formula unit

POSCAR file:
```
CuHIO2
1.0
3.5732 0.0000 0.0000
0.0000 3.5732 0.0000
0.0000 0.0000 7.4759
I H O Cu
1 1 2 1
Cartesian
0.0000 0.0000 3.7380
1.7866 1.7866 3.7380
0.0000 1.7866 0.0000
1.7866 0.0000 0.0000
0.0000 0.0000 0.0000
```


Most stable structure, least stable structure: version B, version A.


Version A
A plane-wave DFT calculation with PBE was carried out for a relaxed structure of CuSb2HI.

Symmetry = P4/mmm
Crystal system = tetragonal
Total magnetization = 0.95 μB per formula unit

POSCAR file:
```
CuSb2HI
1.0
5.0508 0.0000 0.0000
0.0000 5.0508 0.0000
0.0000 0.0000 5.8103
I Sb Cu H
1 2 1 1
Cartesian
0.0000 0.0000 2.9051
0.0000 2.5254 0.0000
2.5254 0.0000 0.0000
0.0000 0.0000 0.0000
2.5254 2.5254 2.9051
```


Version B
A plane-wave DFT calculation with PBE was carried out for a relaxed structure of CuSb2HI.

Symmetry = P4/mmm
Crystal system = tetragonal
Total magnetization = 0.00 μB per formula unit

POSCAR file:
```
CuSb2HI
1.0
4.2080 0.0000 0.0000
0.0000 4.2080 0.0000
0.0000 0.0000 8.2023
I Sb Cu H
1 2 1 1
Cartesian
0.0000 0.0000 4.1012
0.0000 2.1040 0.0000
2.1040 0.0000 0.0000
2.1040 2.1040 4.1012
0.0000 0.0000 0.0000
```


Most stable structure, least stable structure: version B, version A.


Version A
A plane-wave DFT calculation with PBE was carried out for a relaxed structure of InCuH2.

Symmetry = I-42d
Crystal system = tetragonal
Total magnetization = 0.00 μB per formula unit

POSCAR file:
```
InCuH2
1.0
-1.4334 -4.9487 -1.2987
4.4643 -0.5510 -2.8279
3.2805 -4.0593 0.9782
H Cu In
4 2 2
Cartesian
0.9138 -2.6867 -0.5296
2.9996 -3.4677 -2.0762
4.9410 -5.2727 -1.6653
3.7683 -7.6908 -2.0258
1.5154 -2.7498 -2.0633
4.6301 -3.6801 -1.9565
0.0000 0.0000 0.0000
1.6812 -5.8789 -1.1919
```


Version B
A plane-wave DFT calculation with PBE was carried out for a relaxed structure of InCuH2.

Symmetry = Fm-3m
Crystal system = cubic
Total magnetization = 0.00 μB per formula unit

POSCAR file:
```
InCuH2
1.0
0.0000 2.8228 2.8228
2.8228 0.0000 2.8228
2.8228 2.8228 0.0000
H Cu In
2 1 1
Cartesian
1.4114 1.4114 1.4114
4.2341 4.2341 4.2341
0.0000 0.0000 0.0000
2.8228 2.8228 2.8228
```


Most stable structure, least stable structure: version A, version B.


Version A
A plane-wave DFT calculation with PBE was carried out for a relaxed structure of In3CuH.

Symmetry = Pm-3m
Crystal system = cubic
Total magnetization = 0.00 μB per formula unit

POSCAR file:
```
In3CuH
1.0
-3.1789 2.7016 1.9799
-2.1263 -3.7368 1.6850
2.5880 0.2484 3.8164
H Cu In
1 1 3
Cartesian
0.0000 0.0000 0.0000
-1.3586 -0.3934 3.7407
-1.0631 -1.8684 0.8425
1.2940 0.1242 1.9082
-1.5895 1.3508 0.9899
```


Version B
A plane-wave DFT calculation with PBE was carried out for a relaxed structure of In3CuH.

Symmetry = Pm-3m
Crystal system = cubic
Total magnetization = 0.00 μB per formula unit

POSCAR file:
```
In3CuH
1.0
-0.6389 0.4833 4.9839
3.3276 -3.7134 0.7866
3.7416 3.3850 0.1514
H Cu In
1 1 3
Cartesian
3.2152 0.0774 2.9610
0.0000 0.0000 0.0000
1.6638 -1.8567 0.3933
1.8708 1.6925 0.0757
-0.3194 0.2416 2.4919
```


Most stable structure, least stable structure: version A, version B.


Version A
A plane-wave DFT calculation with PBE was carried out for a relaxed structure of InCu2HPd.

Symmetry = P4/mmm
Crystal system = tetragonal
Total magnetization = 0.00 μB per formula unit

POSCAR file:
```
InCu2HPd
1.0
3.9549 0.0000 0.0000
0.0000 3.9549 0.0000
0.0000 0.0000 3.9400
H Cu Pd In
1 2 1 1
Cartesian
0.0000 0.0000 0.0000
0.0000 1.9775 0.0000
1.9775 0.0000 0.0000
0.0000 0.0000 1.9700
1.9775 1.9775 1.9700
```


Version B
A plane-wave DFT calculation with PBE was carried out for a relaxed structure of InCu2HPd.

Symmetry = P4/mmm
Crystal system = tetragonal
Total magnetization = 0.00 μB per formula unit

POSCAR file:
```
InCu2HPd
1.0
-0.7794 1.3535 -3.4726
-3.7258 -0.1933 0.7609
0.1093 4.1237 1.5827
H Cu Pd In
1 2 1 1
Cartesian
0.0000 0.0000 0.0000
-1.8629 -0.0967 0.3805
-0.3897 0.6767 -1.7363
-2.1980 2.6419 -0.5644
0.0546 2.0619 0.7914
```


Most stable structure, least stable structure: version A, version B.


Version A
A plane-wave DFT calculation with PBE was carried out for a relaxed structure of InCuHRh2.

Symmetry = P4/mmm
Crystal system = tetragonal
Total magnetization = 0.00 μB per formula unit

POSCAR file:
```
InCuHRh2
1.0
-1.1343 2.9856 2.2977
-3.6700 -0.3333 -1.3785
-0.8976 -2.6786 3.0374
H Rh Cu In
1 2 1 1
Cartesian
0.0000 0.0000 0.0000
-1.8350 -0.1667 -0.6893
-0.5671 1.4928 1.1489
-2.8509 -0.0131 1.9783
-0.4488 -1.3393 1.5187
```


Version B
A plane-wave DFT calculation with PBE was carried out for a relaxed structure of InCuHRh2.

Symmetry = P4/mmm
Crystal system = tetragonal
Total magnetization = 0.00 μB per formula unit

POSCAR file:
```
InCuHRh2
1.0
4.0955 0.0000 0.0000
0.0000 4.0955 0.0000
0.0000 0.0000 3.7443
H Rh Cu In
1 2 1 1
Cartesian
0.0000 0.0000 0.0000
0.0000 2.0477 0.0000
2.0477 0.0000 0.0000
0.0000 0.0000 1.8721
2.0477 2.0477 1.8721
```


Most stable structure, least stable structure: version B, version A.


Version A
A plane-wave DFT calculation with PBE was carried out for a relaxed structure of Cu2HIr2.

Symmetry = I4/mmm
Crystal system = tetragonal
Total magnetization = 0.00 μB per formula unit

POSCAR file:
```
Cu2HIr2
1.0
3.5257 0.0000 0.0000
0.0000 3.5257 0.0000
1.7628 1.7628 6.3174
H Ir Cu
1 2 2
Cartesian
0.0000 0.0000 0.0000
3.5257 1.7628 3.1587
1.7628 3.5257 3.1587
1.7628 1.7628 1.2087
3.5257 3.5257 5.1087
```


Version B
A plane-wave DFT calculation with PBE was carried out for a relaxed structure of Cu2HIr2.

Symmetry = P4/mbm
Crystal system = tetragonal
Total magnetization = 1.12 μB per formula unit

POSCAR file:
```
Cu2HIr2
1.0
-0.0518 7.3000 -2.2151
-6.0637 -1.3836 -4.4177
-1.5362 0.5744 1.9287
H Ir Cu
2 4 4
Cartesian
0.0000 0.0000 0.0000
-3.0578 2.9582 -3.3164
-4.5491 0.3201 -2.0570
-6.1213 3.6173 -4.2911
-3.1027 6.1707 -2.6472
-1.5305 2.8735 -0.4130
-5.0158 1.2276 -4.3607
-4.1393 5.0835 -4.8108
-1.0997 4.6889 -2.2722
-1.9763 0.8329 -1.8221
```


Most stable structure, least stable structure: version B, version A.